Run A
A plane-wave DFT calculation with PBE with a Hubbard U was carried out for a relaxed CaNiP2O crystal.

Unit cell a=4.610 b=4.610 c=3.870 alpha=90.00 beta=90.00 gamma=90.00
Fractional coordinates of all 5 atoms:
Ca 0.000 0.000 0.000
Ni 0.500 0.500 0.500
P 0.000 0.500 0.500
P 0.500 0.000 0.500
O 0.500 0.500 0.000

Output
M_tot, μB/f.u.: 0.4

Run B
A plane-wave DFT calculation with PBE with a Hubbard U was carried out for a relaxed CaNiP2O crystal.

Unit cell a=5.314 b=5.314 c=4.158 alpha=90.00 beta=90.00 gamma=90.00
Fractional coordinates of all 5 atoms:
Ca 0.000 0.000 0.000
Ni 0.500 0.500 0.500
P 0.000 0.500 0.000
P 0.500 0.000 0.000
O 0.000 0.000 0.500

Output
M_tot, μB/f.u.: 2.2

The computed energies, referenced to the most stable structure and given in meV/atom, are run A 0; run B 987.

Run A
A plane-wave DFT calculation with PBE with a Hubbard U was carried out for a relaxed CaNiPO2 crystal.

Unit cell a=4.031 b=4.031 c=4.250 alpha=90.00 beta=90.00 gamma=90.00
Fractional coordinates of all 5 atoms:
Ca 0.000 0.000 0.000
Ni 0.500 0.500 0.500
P 0.500 0.500 0.000
O 0.000 0.500 0.500
O 0.500 0.000 0.500

Output
M_tot, μB/f.u.: 0.1

Run B
A plane-wave DFT calculation with PBE with a Hubbard U was carried out for a relaxed CaNiPO2 crystal.

Unit cell a=4.223 b=4.223 c=5.790 alpha=90.00 beta=90.00 gamma=90.00
Fractional coordinates of all 5 atoms:
Ca 0.000 0.000 0.000
Ni 0.500 0.500 0.500
P 0.000 0.000 0.500
O 0.000 0.500 0.000
O 0.500 0.000 0.000

Output
M_tot, μB/f.u.: 4.7

The computed energies, referenced to the most stable structure and given in meV/atom, are run A 0; run B 921.

Run A
A plane-wave DFT calculation with PBE with a Hubbard U was carried out for a relaxed CaNiWO6 crystal.

Unit cell a=5.355 b=5.726 c=9.428 alpha=90.00 beta=124.46 gamma=90.00
Fractional coordinates of all 18 atoms:
Ca 0.000 0.177 0.000
Ca 0.000 0.823 0.500
Ni 0.734 0.248 0.249
Ni 0.734 0.752 0.749
W 0.220 0.297 0.741
W 0.220 0.703 0.241
O 0.039 0.011 0.271
O 0.039 0.989 0.771
O 0.377 0.440 0.207
O 0.377 0.560 0.707
O 0.489 0.052 0.734
O 0.489 0.948 0.234
O 0.546 0.256 0.987
O 0.546 0.744 0.487
O 0.938 0.234 0.506
O 0.938 0.766 0.006
O 0.971 0.447 0.792
O 0.971 0.553 0.292

Output
M_tot, μB/f.u.: 4.0

Run B
A plane-wave DFT calculation with PBE with a Hubbard U was carried out for a relaxed CaNiWO6 crystal.

Unit cell a=5.079 b=5.671 c=9.973 alpha=90.00 beta=90.00 gamma=90.00
Fractional coordinates of all 18 atoms:
Ca 0.000 0.000 0.000
Ca 0.500 0.500 0.500
Ni 0.000 0.000 0.667
Ni 0.500 0.500 0.167
W 0.000 0.500 0.182
W 0.500 0.000 0.682
O 0.234 0.108 0.808
O 0.241 0.652 0.055
O 0.249 0.244 0.156
O 0.251 0.744 0.656
O 0.259 0.152 0.555
O 0.266 0.608 0.308
O 0.734 0.392 0.308
O 0.741 0.848 0.555
O 0.749 0.256 0.656
O 0.751 0.756 0.156
O 0.759 0.348 0.055
O 0.766 0.892 0.808

Output
M_tot, μB/f.u.: 0.0

The computed energies, referenced to the most stable structure and given in meV/atom, are run A 0; run B 108.